The following is a PBE calculation of Zn3Ni2Rh after structural relaxation, from Alexandria via LeMat-Bulk.

Results
- Crystal system: tetragonal

Lattice parameters (Å, degrees): 2.973 2.973 8.629 90.00 90.00 90.00
Atoms (fractional coordinates):
Zn  0.000  0.000  0.000
Zn  0.000  0.000  0.677
Zn  0.000  0.000  0.323
Ni  0.500  0.500  0.841
Ni  0.500  0.500  0.159
Rh  0.500  0.500  0.500

***

The following is a PBE calculation of Be2In2Pd after structural relaxation, from Alexandria via LeMat-Bulk.

Results
- Crystal system: tetragonal

Lattice parameters (Å, degrees): 7.400 7.400 3.103 90.00 90.00 90.00
Atoms (fractional coordinates):
Be  0.895  0.395  0.500
Be  0.105  0.605  0.500
Be  0.395  0.105  0.500
Be  0.605  0.895  0.500
In  0.313  0.813  0.000
In  0.687  0.187  0.000
In  0.813  0.687  0.000
In  0.187  0.313  0.000
Pd  0.500  0.500  0.000
Pd  0.000  0.000  0.000

***

The following is a PBE calculation of PmTmTh14 after structural relaxation, from Alexandria via LeMat-Bulk.

Results
- Crystal system: orthorhombic

Lattice parameters (Å, degrees): 7.178 7.178 11.592 90.00 90.00 120.05
Atoms (fractional coordinates):
Th  0.874  0.624  0.750
Th  0.875  0.125  0.752
Th  0.708  0.292  0.000
Th  0.042  0.455  0.500
Th  0.209  0.292  0.000
Th  0.376  0.126  0.750
Th  0.874  0.624  0.250
Th  0.376  0.126  0.250
Th  0.545  0.958  0.500
Th  0.375  0.625  0.250
Th  0.875  0.125  0.248
Th  0.708  0.791  0.000
Th  0.208  0.792  0.000
Th  0.375  0.625  0.750
Pm  0.040  0.960  0.500
Tm  0.541  0.459  0.500

***

Energy of formation: -29, 34, 3 (kJ per mole of atoms)
Total magnetic moment: 0.00, 0.00, 0.00 (μB/cell)